Record 1
BeTe2Pb after structural relaxation, computed with PBE.

Calculated values
Offset from the most stable computed form ... 11.15 kcal/mol of atoms
ρ ... 7071 kg/m³

abc: 3.4263 3.4263 9.4299
angles: 90.00 90.00 90.00
With the nearest neighbours (Å) after each atom.
Atoms (fractional coordinates):
Te 0.0000 0.0000 0.0028  4 Te 3.43, 4 Pb 3.77
Te 0.5000 0.5000 0.3616  4 Be 2.53
Be 0.0000 0.0000 0.4394  4 Te 2.53
Pb 0.5000 0.5000 0.6962  1 Te 3.15, 4 Be 3.43, 4 Pb 3.43


Record 2
Be2TePb after structural relaxation, computed with PBE.

Calculated values
Offset from the most stable computed form ... 15.96 kcal/mol of atoms
ρ ... 7404 kg/m³

abc: 4.8190 4.8190 4.8190
angles: 60.00 60.00 60.00
With the nearest neighbours (Å) after each atom.
Atoms (fractional coordinates):
Te 0.0000 0.0000 0.0000  8 Be 2.95
Be 0.2500 0.2500 0.2500  4 Pb 2.95, 4 Te 2.95
Be 0.7500 0.7500 0.7500  4 Pb 2.95, 4 Te 2.95
Pb 0.5000 0.5000 0.5000  8 Be 2.95


Record 3
Be2TePb after structural relaxation, computed with PBE.

Calculated values
Offset from the most stable computed form ... 11.99 kcal/mol of atoms
ρ ... 6761 kg/m³

abc: 5.2890 5.2890 5.2890
angles: 140.44 107.60 85.79
With the nearest neighbours (Å) after each atom.
Atoms (fractional coordinates):
Pb 0.7500 0.2500 0.5000  4 Be 2.78
Be 0.0243 0.0243 0.0000  2 Te 2.50, 2 Pb 2.78
Be 0.4757 0.4757 0.0000  2 Te 2.50, 2 Pb 2.78
Te 0.2500 0.7500 0.5000  4 Be 2.50


Question: The highest ρ belongs to which entry?
Answer: number 2